1.
VASP calculation (PBE-GGA) on FeSiTe2 after structural relaxation.

Geometry as POSCAR:
```
FeSiTe2
1.0
3.387 -0.004 0.000
0.004 3.387 0.000
0.000 0.000 7.070
Te Si Fe
2 1 1
Direct
0.000 0.000 0.022
0.000 0.000 0.478
0.500 0.500 0.750
0.500 0.500 0.250
```

Calculated values
SG: P4/mmm
Theoretical density in g cm⁻³: 6.942
Uncorrected formation energy in eV/f.u.: 2.0
Final energy in eV/atom: -4.53

2.
VASP calculation (PBE-GGA) on TbErHgBi after structural relaxation.

Geometry as POSCAR:
```
TbErHgBi
1.0
-3.087 4.188 1.332
-4.880 -0.818 2.089
-0.929 1.114 5.171
Hg Tb Er Bi
1 1 1 1
Direct
0.750 0.750 0.750
0.500 0.500 0.500
0.000 0.000 0.000
0.250 0.250 0.250
```

Calculated values
Calculated formation energy in eV/f.u.: -1.92
SG: F-43m
Theoretical density in g cm⁻³: 11.153
Final energy in eV/atom: -3.82